{"formula": "DyMnTeO6", "functional": "GGA+U", "state": "optimized geometry", "lattice_angstrom": [[5.527, 0.000, 0.000], [-2.763, 4.786, 0.000], [0.000, 0.000, 8.701]], "species": ["Dy", "Dy", "Mn", "Mn", "Te", "Te", "O", "O", "O", "O", "O", "O", "O", "O", "O", "O", "O", "O"], "frac_coords": [[0.333, 0.667, 0.250], [0.667, 0.333, 0.750], [0.000, 0.000, 0.000], [0.000, 0.000, 0.500], [0.333, 0.667, 0.750], [0.667, 0.333, 0.250], [0.044, 0.363, 0.627], [0.044, 0.680, 0.873], [0.320, 0.363, 0.873], [0.320, 0.956, 0.627], [0.363, 0.044, 0.127], [0.363, 0.320, 0.373], [0.637, 0.680, 0.627], [0.637, 0.956, 0.873], [0.680, 0.044, 0.373], [0.680, 0.637, 0.127], [0.956, 0.320, 0.127], [0.956, 0.637, 0.373]], "energy_ev_per_cell": -120.7}